Record 1
Computed, not measured: crystalline La2NbBi at its relaxed geometry at the PBE-GGA level of DFT.

Cell and atoms, written as POSCAR:
```
La2NbBi
1.0
-0.601 -7.100 -4.894
0.811 -4.931 7.053
-3.015 -6.004 1.446
La Nb Bi
4 2 2
Cartesian
-0.352 -5.834 3.908
-2.141 -9.267 2.256
-2.118 -14.777 2.613
-0.997 -6.191 -1.565
-1.049 -8.475 4.790
0.105 -6.015 1.080
-1.755 -9.560 -1.184
0.000 0.000 0.000
```

## Properties
- space group = I-42d
- density of states at the Fermi level (states/eV per atom) = 1.3905
- energy of formation (eV per atom) = 0.23

=====

Record 2
Computed, not measured: crystalline Sm7Ag3 at its relaxed geometry at the PBE-GGA level of DFT.

Cell and atoms, written as POSCAR:
```
Sm7Ag3
1.0
-3.669 -4.002 3.446
8.015 -6.468 1.021
-1.556 7.459 7.005
Sm Ag
14 6
Cartesian
-1.902 3.999 7.710
3.413 -8.406 4.964
-1.561 -4.392 4.330
2.447 -3.777 9.311
3.071 -0.015 8.344
-0.837 2.955 4.314
4.376 -5.149 6.454
-0.519 0.467 7.033
1.172 -2.563 6.046
2.367 0.369 4.722
1.745 3.351 7.523
4.505 -2.174 3.316
1.794 -5.545 3.245
-0.937 -0.630 3.364
1.459 -2.537 3.025
-2.883 1.281 8.835
0.464 -1.420 9.262
-2.233 -1.834 5.910
4.157 -2.123 6.377
4.806 -5.238 3.452
```

## Properties
- space group = P6_3mc
- density of states at the Fermi level (states/eV per atom) = 1.4116
- energy of formation (eV per atom) = -0.11

=====

Record 3
Computed, not measured: crystalline GaCo2HPd at its relaxed geometry at the PBE-GGA level of DFT.

Cell and atoms, written as POSCAR:
```
GaCo2HPd
1.0
-0.245 2.510 -2.677
1.582 -2.349 -2.347
-3.534 -1.396 -0.985
Ga H Pd Co
1 1 1 2
Cartesian
-1.098 -0.617 -3.005
0.000 0.000 0.000
-1.767 -0.698 -0.493
0.791 -1.174 -1.174
-0.123 1.255 -1.339
```

## Properties
- space group = P4/mmm
- energy above the most stable polymorph in this dataset (meV/atom) = 0.0
- density of states at the Fermi level (states/eV per atom) = 0.9980

=====

Record 4
Computed, not measured: crystalline IrAu3Cl at its relaxed geometry at the PBE-GGA level of DFT.

Cell and atoms, written as POSCAR:
```
IrAu3Cl
1.0
-2.165 4.219 -0.184
-0.472 -0.448 -4.701
-4.196 -2.126 0.624
Au Ir Cl
3 1 1
Cartesian
-0.236 -0.224 -2.350
-2.098 -1.063 0.312
-1.083 2.109 -0.092
-3.417 0.822 -2.130
0.000 0.000 0.000
```

## Properties
- space group = Pm-3m
- energy above the most stable polymorph in this dataset (meV/atom) = 491.4
- density of states at the Fermi level (states/eV per atom) = 0.7590
- E_form (uncorrected) (eV/atom) = 1.5470

=====

Record 5
Computed, not measured: crystalline Dy2ThC2 at its relaxed geometry at the PBE-GGA level of DFT.

Cell and atoms, written as POSCAR:
```
Dy2ThC2
1.0
3.669 0.000 0.000
1.835 3.178 0.000
1.835 1.059 9.523
Th Dy C
1 2 2
Cartesian
0.000 0.000 0.000
5.504 3.178 6.630
1.835 1.059 2.893
3.669 2.119 1.665
3.669 2.119 7.858
```

## Properties
- space group = R-3m
- density of states at the Fermi level (states/eV per atom) = 0.4968
- energy of formation (eV per atom) = -0.27

=====

Record 6
Computed, not measured: crystalline Cu5HgPd8 at its relaxed geometry at the PBE-GGA level of DFT.

Cell and atoms, written as POSCAR:
```
Cu5HgPd8
1.0
-3.924 -4.806 2.135
4.122 1.835 4.763
-3.764 5.062 -1.804
Pd Cu Hg
8 5 1
Cartesian
-3.116 -1.363 2.216
-1.747 0.877 1.222
-5.868 -0.949 1.071
-4.399 2.229 1.660
-1.740 3.175 4.198
0.925 3.408 2.820
2.222 1.079 3.699
-0.542 -0.092 3.494
-3.844 0.128 0.166
0.771 1.088 1.488
-3.000 0.958 3.549
-0.467 -1.430 5.815
-4.435 3.565 -0.663
-1.743 3.512 1.563
```

## Properties
- space group = I-4
- density of states at the Fermi level (states/eV per atom) = 1.0972
- energy of formation (eV per atom) = 0.05